Entry 1:
First-principles (PBE) data for a geometry-optimized Ca2ZnNi4As3 structure, as listed in Alexandria via LeMat-Bulk.

CIF file:
```
data_Ca2ZnNi4As3
_chemical_formula_sum 'Ca2 Zn1 Ni4 As3'
_cell_length_a 4.106
_cell_length_b 4.106
_cell_length_c 9.707
_cell_angle_alpha 90.00
_cell_angle_beta 90.00
_cell_angle_gamma 90.00
_space_group_name_H-M_alt 'P 1'
_space_group_IT_number 1
loop_
_space_group_symop_operation_xyz
'x,y,z'
loop_
_atom_site_label
_atom_site_fract_x
_atom_site_fract_y
_atom_site_fract_z
Ni1 0.000 0.000 0.000
Ca1 0.500 0.000 0.246
Ni2 0.500 0.500 0.000
Ni3 0.500 0.000 0.629
As1 0.000 0.500 0.131
Ca2 0.000 0.500 0.754
As2 0.000 0.000 0.500
Ni4 0.000 0.500 0.371
As3 0.500 0.000 0.869
Zn1 0.500 0.500 0.500
```

## Properties
Its total magnetization is 0.0 Bohr magnetons per cell. The space group is No. 115. The calculated formation energy comes out at -6.2 eV per formula unit. As for the calculated total energy: -4.86 eV per atom.

=====

Entry 2:
First-principles (PBE) data for a geometry-optimized GaSnC3 structure, as listed in Alexandria via LeMat-Bulk.

CIF file:
```
data_GaSnC3
_chemical_formula_sum 'Ga1 Sn1 C3'
_cell_length_a 4.335
_cell_length_b 4.335
_cell_length_c 4.335
_cell_angle_alpha 90.00
_cell_angle_beta 90.00
_cell_angle_gamma 90.00
_space_group_name_H-M_alt 'P 1'
_space_group_IT_number 1
loop_
_space_group_symop_operation_xyz
'x,y,z'
loop_
_atom_site_label
_atom_site_fract_x
_atom_site_fract_y
_atom_site_fract_z
Ga1 0.500 0.500 0.500
Sn1 0.000 0.000 0.000
C1 0.000 0.000 0.500
C2 0.000 0.500 0.000
C3 0.500 0.000 0.000
```

## Properties
Its total magnetization is 1.1 Bohr magnetons per cell. The space group is No. 221. The calculated formation energy comes out at 14.6 eV per formula unit. As for the calculated total energy: -4.03 eV per atom. The calculation puts the offset from the most stable computed form at 395 meV/atom.

=====

Entry 3:
First-principles (PBE) data for a geometry-optimized Tb2BiS5 structure, as listed in Alexandria via LeMat-Bulk.

CIF file:
```
data_Tb2BiS5
_chemical_formula_sum 'Tb4 Bi2 S10'
_cell_length_a 5.352
_cell_length_b 7.286
_cell_length_c 13.245
_cell_angle_alpha 90.00
_cell_angle_beta 90.00
_cell_angle_gamma 111.55
_space_group_name_H-M_alt 'P 1'
_space_group_IT_number 1
loop_
_space_group_symop_operation_xyz
'x,y,z'
loop_
_atom_site_label
_atom_site_fract_x
_atom_site_fract_y
_atom_site_fract_z
Tb1 0.158 0.315 0.933
S1 0.302 0.603 0.081
S2 0.698 0.397 0.919
S3 0.960 0.920 0.900
S4 0.040 0.080 0.400
S5 0.302 0.603 0.419
Bi1 0.170 0.340 0.250
Bi2 0.830 0.660 0.750
Tb2 0.842 0.685 0.433
S6 0.263 0.526 0.750
S7 0.960 0.920 0.600
S8 0.737 0.474 0.250
Tb3 0.842 0.685 0.067
S9 0.040 0.080 0.100
S10 0.698 0.397 0.581
Tb4 0.158 0.315 0.567
```

## Properties
The formation energy from raw total energies is -1.262 eV per atom. Its total magnetization is 0.0 Bohr magnetons per cell. The space group is No. 63. As for the calculated total energy: -5.48 eV per atom.

=====

Entry 4:
First-principles (PBE) data for a geometry-optimized U2Pd3Pt7 structure, as listed in Alexandria via LeMat-Bulk.

CIF file:
```
data_U2Pd3Pt7
_chemical_formula_sum 'U2 Pd3 Pt7'
_cell_length_a 3.954
_cell_length_b 3.874
_cell_length_c 14.498
_cell_angle_alpha 82.34
_cell_angle_beta 90.00
_cell_angle_gamma 90.00
_space_group_name_H-M_alt 'P 1'
_space_group_IT_number 1
loop_
_space_group_symop_operation_xyz
'x,y,z'
loop_
_atom_site_label
_atom_site_fract_x
_atom_site_fract_y
_atom_site_fract_z
Pt1 0.500 0.210 0.580
U1 0.500 0.642 0.715
Pt2 0.500 0.790 0.420
Pd1 0.000 0.287 0.426
Pt3 0.000 0.574 0.851
Pt4 0.500 0.927 0.148
Pt5 0.000 0.426 0.149
Pt6 0.500 0.073 0.852
U2 0.500 0.358 0.285
Pt7 0.000 0.000 0.000
Pd2 0.500 0.500 0.000
Pd3 0.000 0.713 0.574
```

## Properties
Its total magnetization is 1.5 Bohr magnetons per cell. The space group is No. 10. The calculated formation energy comes out at -4.5 eV per formula unit. As for the calculated total energy: -7.08 eV per atom.

=====

Entry 5:
First-principles (PBE) data for a geometry-optimized Ce3Dy2ErBi6 structure, as listed in Alexandria via LeMat-Bulk.

CIF file:
```
data_Ce3Dy2ErBi6
_chemical_formula_sum 'Ce3 Dy2 Er1 Bi6'
_cell_length_a 7.860
_cell_length_b 7.860
_cell_length_c 7.850
_cell_angle_alpha 99.61
_cell_angle_beta 99.61
_cell_angle_gamma 120.00
_space_group_name_H-M_alt 'P 1'
_space_group_IT_number 1
loop_
_space_group_symop_operation_xyz
'x,y,z'
loop_
_atom_site_label
_atom_site_fract_x
_atom_site_fract_y
_atom_site_fract_z
Dy1 0.666 0.334 0.000
Bi1 0.919 0.587 0.758
Ce1 0.833 0.167 0.500
Bi2 0.081 0.413 0.242
Ce2 0.167 0.833 0.500
Bi3 0.413 0.081 0.242
Bi4 0.749 0.749 0.243
Bi5 0.251 0.251 0.757
Ce3 0.500 0.500 0.500
Er1 0.000 0.000 0.000
Dy2 0.334 0.666 0.000
Bi6 0.587 0.919 0.758
```

## Properties
Its total magnetization is 2.6 Bohr magnetons per cell. The space group is No. 12. The calculated formation energy comes out at -9.8 eV per formula unit. As for the calculated total energy: -5.39 eV per atom.

=====

Entry 6:
First-principles (PBE) data for a geometry-optimized SnHgS2Cl structure, as listed in Alexandria via LeMat-Bulk.

CIF file:
```
data_SnHgS2Cl
_chemical_formula_sum 'Sn1 Hg1 S2 Cl1'
_cell_length_a 5.059
_cell_length_b 5.059
_cell_length_c 5.147
_cell_angle_alpha 90.00
_cell_angle_beta 90.00
_cell_angle_gamma 90.00
_space_group_name_H-M_alt 'P 1'
_space_group_IT_number 1
loop_
_space_group_symop_operation_xyz
'x,y,z'
loop_
_atom_site_label
_atom_site_fract_x
_atom_site_fract_y
_atom_site_fract_z
Hg1 0.500 0.500 0.500
Sn1 0.000 0.000 0.000
Cl1 0.000 0.000 0.500
S1 0.500 0.000 0.000
S2 0.000 0.500 0.000
```

## Properties
The formation energy from raw total energies is 0.043 eV per atom. Its total magnetization is 0.0 Bohr magnetons per cell. The space group is No. 123. As for the calculated total energy: -2.84 eV per atom. The calculation puts the offset from the most stable computed form at 0 meV/atom.